1.
BaLaY2Pd PBE optimized geometry; volume = 186.8 Å³ per cell; DOS(E_F) = 1.4204 states/eV/atom; symmetry = P4/mmm, No. 123; electronic total energy = -25.9 eV/cell; ΔH_f (0 K) = -18 kJ per mole of atoms
1.0
5.740 0.000 0.000
0.000 5.740 0.000
0.000 0.000 5.668
Ba La Y Pd
1 1 2 1
Direct
0.000 0.000 0.000 Ba
0.500 0.500 0.000 La
0.000 0.500 0.500 Y
0.500 0.000 0.500 Y
0.500 0.500 0.500 Pd

2.
AcLaSm2Dy5 PBE optimized geometry; volume = 618.6 Å³ per cell; DOS(E_F) = 1.1201 states/eV/atom; symmetry = I4/mcm, No. 140; electronic total energy = -78.7 eV/cell; ΔH_f (0 K) = 23 kJ per mole of atoms
1.0
-4.421 4.421 7.913
4.421 -4.421 7.913
4.421 4.421 -7.913
Ac La Sm Dy
2 2 4 10
Direct
0.250 0.250 0.000 Ac
0.750 0.750 0.000 Ac
0.250 0.750 0.500 La
0.750 0.250 0.500 La
0.118 0.618 0.735 Sm
0.382 0.118 0.500 Sm
0.618 0.882 0.500 Sm
0.882 0.382 0.265 Sm
0.000 0.000 0.000 Dy
0.073 0.167 0.500 Dy
0.167 0.667 0.094 Dy
0.333 0.427 0.500 Dy
0.427 0.927 0.094 Dy
0.500 0.500 0.000 Dy
0.573 0.073 0.906 Dy
0.667 0.573 0.500 Dy
0.833 0.333 0.906 Dy
0.927 0.833 0.500 Dy

3.
PmPu2ThSb4 PBE optimized geometry; volume = 252.8 Å³ per cell; DOS(E_F) = 3.3637 states/eV/atom; E_form (uncorrected) = -856 meV/atom; symmetry = P2/m, No. 10; electronic total energy = -64.2 eV/cell
1.0
7.722 0.000 0.000
0.000 4.481 0.000
-2.595 0.000 7.306
Pm Pu Th Sb
1 2 1 4
Direct
0.000 0.000 0.000 Pm
0.500 0.000 0.500 Pu
0.500 0.500 0.000 Pu
0.000 0.500 0.500 Th
0.255 0.000 0.752 Sb
0.255 0.500 0.252 Sb
0.745 0.000 0.248 Sb
0.745 0.500 0.748 Sb

- What is the DOS(E_F) in the third record?
  3.3637 states/eV/atom

What did the first record say?
BaLaY2Pd PBE optimized geometry; volume = 186.8 Å³ per cell; DOS(E_F) = 1.4204 states/eV/atom; symmetry = P4/mmm, No. 123; electronic total energy = -25.9 eV/cell; ΔH_f (0 K) = -18 kJ per mole of atoms
1.0
5.740 0.000 0.000
0.000 5.740 0.000
0.000 0.000 5.668
Ba La Y Pd
1 1 2 1
Direct
0.000 0.000 0.000 Ba
0.500 0.500 0.000 La
0.000 0.500 0.500 Y
0.500 0.000 0.500 Y
0.500 0.500 0.500 Pd

- The highest volume belongs to which entry?
  AcLaSm2Dy5

- Number 1 is which compound?
  BaLaY2Pd